The following is a DFT calculation (GGA-PBE) of a geometry-optimized Sr2LiSb structure.

a = 5.413 Å, b = 5.413 Å, c = 4.502 Å
α = 90.00°, β = 90.00°, γ = 90.00°
Space group P4/mmm (No. 123)
One atom of each set of equivalent atoms:
Sr  0.000  0.500  0.000
Li  0.000  0.000  0.500
Sb  0.500  0.500  0.500

The following is a DFT calculation (GGA-PBE) of a geometry-optimized SrLi4Sb3 structure.

a = 4.674 Å, b = 4.674 Å, c = 9.017 Å
α = 90.00°, β = 90.00°, γ = 90.00°
Space group P4/mmm (No. 123)
One atom of each set of equivalent atoms:
Sr  0.000  0.000  0.000
Li  0.000  0.500  0.336
Sb  0.000  0.000  0.500
Sb  0.500  0.500  0.156

The following is a DFT calculation (GGA-PBE) of a geometry-optimized SrLi3Sb structure.

a = 5.431 Å, b = 5.431 Å, c = 5.431 Å
α = 90.00°, β = 90.00°, γ = 90.00°
Space group Pm-3m (No. 221)
One atom of each set of equivalent atoms:
Sr  0.000  0.000  0.000
Li  0.000  0.000  0.500
Sb  0.500  0.500  0.500

## Properties
ΔE to the lowest computed polymorph = 1203 meV per atom

Number 1: ΔE_f (raw) -0.590 eV/atom. Number 2: ΔE_f (raw) -0.647 eV/atom. Number 3: ΔE_f (raw) 0.765 eV/atom.